# 1
Below is ZrNiMo2 after structural relaxation, with properties calculated at the PBE level.

Cell lengths 5.257, 5.257, 2.687 Å; angles 90.00, 90.00, 118.42 degrees
Atoms (fractional coordinates):
Zr1 0.000 0.000 0.000
Ni1 0.500 0.500 0.000
Mo1 0.000 0.500 0.500
Mo2 0.500 0.000 0.500

Calculated values
total moment	0.000	μB per atom
formation energy from the elements	6.21	kcal/mol of atoms

# 2
Below is ZrNi2Mo after structural relaxation, with properties calculated at the PBE level.

Cell lengths 5.555, 5.555, 5.555 Å; angles 103.12, 103.12, 123.08 degrees
Atoms (fractional coordinates):
Zr1 0.000 0.000 0.000
Zr2 0.750 0.250 0.500
Ni1 0.147 0.625 0.022
Ni2 0.375 0.397 0.522
Ni3 0.603 0.125 0.978
Ni4 0.875 0.853 0.478
Mo1 0.250 0.750 0.500
Mo2 0.500 0.500 0.000

Calculated values
total moment	0.000	μB per atom
formation energy from the elements	5.58	kcal/mol of atoms

# 3
Below is ZrNiMo2 after structural relaxation, with properties calculated at the PBE level.

Cell lengths 10.475, 10.475, 10.475 Å; angles 159.75, 159.75, 28.80 degrees
Atoms (fractional coordinates):
Zr1 0.000 0.000 0.000
Zr2 0.750 0.250 0.500
Ni1 0.250 0.750 0.500
Ni2 0.500 0.500 0.000
Mo1 0.123 0.625 0.998
Mo2 0.375 0.373 0.498
Mo3 0.627 0.125 0.002
Mo4 0.875 0.877 0.502

Calculated values
total moment	0.000	μB per atom
formation energy from the elements	8.92	kcal/mol of atoms

# 4
Below is ZrNiMo2 after structural relaxation, with properties calculated at the PBE level.

Cell lengths 2.779, 4.722, 5.001 Å; angles 90.00, 98.28, 90.00 degrees
Atoms (fractional coordinates):
Zr1 0.000 0.000 0.000
Ni1 0.500 0.000 0.500
Mo1 0.277 0.500 0.752
Mo2 0.723 0.500 0.248

Calculated values
total moment	0.000	μB per atom
formation energy from the elements	3.58	kcal/mol of atoms

# 5
Below is ZrNiMo2 after structural relaxation, with properties calculated at the PBE level.

Cell lengths 2.736, 2.736, 8.672 Å; angles 90.00, 90.00, 99.69 degrees
Atoms (fractional coordinates):
Zr1 0.000 0.000 0.000
Ni1 0.000 0.000 0.500
Mo1 0.500 0.500 0.283
Mo2 0.500 0.500 0.717

Calculated values
total moment	0.000	μB per atom
formation energy from the elements	2.89	kcal/mol of atoms

# 6
Below is ZrNi2Mo after structural relaxation, with properties calculated at the PBE level.

Cell lengths 4.378, 4.378, 4.378 Å; angles 60.00, 60.00, 60.00 degrees
Atoms (fractional coordinates):
Zr1 0.000 0.000 0.000
Ni1 0.500 0.500 0.500
Ni2 0.750 0.750 0.750
Mo1 0.250 0.250 0.250

Calculated values
total moment	0.318	μB per atom
formation energy from the elements	2.96	kcal/mol of atoms

# 7
Below is ZrNi3Mo after structural relaxation, with properties calculated at the PBE level.

Cell lengths 4.446, 4.446, 4.446 Å; angles 90.00, 90.00, 90.00 degrees
Atoms (fractional coordinates):
Zr1 0.000 0.000 0.000
Ni1 0.000 0.000 0.500
Ni2 0.000 0.500 0.000
Ni3 0.500 0.000 0.000
Mo1 0.500 0.500 0.500

Calculated values
total moment	0.000	μB per atom
formation energy from the elements	33.43	kcal/mol of atoms
offset from the most stable computed form	639	meV per atom

# 8
Below is ZrNi2Mo after structural relaxation, with properties calculated at the PBE level.

Cell lengths 5.012, 5.012, 4.659 Å; angles 106.87, 106.87, 31.87 degrees
Atoms (fractional coordinates):
Zr1 0.000 0.000 0.000
Ni1 0.467 0.467 0.484
Ni2 0.760 0.760 0.165
Mo1 0.219 0.219 0.628

Calculated values
total moment	0.000	μB per atom
formation energy from the elements	-0.82	kcal/mol of atoms